Entry 1:
The following is a DFT calculation (PBE) of a relaxed Rb2BiSeF6 crystal. Values from VASP.

Summary:
- Symmetry: I4/mmm, No. 139
- Calculated total energy: -40.90 eV per cell
- Crystal system: tetragonal
- Total magnetic moment: 1.0 Bohr magnetons per cell

```
&SYSTEM
  ibrav = 0, nat = 10, ntyp = 4
/
ATOMIC_SPECIES
Rb 85.47 Rb.upf
Bi 208.98 Bi.upf
Se 78.96 Se.upf
F 19.00 F.upf
CELL_PARAMETERS angstrom
-3.208 3.208 5.620
3.208 -3.208 5.620
3.208 3.208 -5.620
ATOMIC_POSITIONS crystal
Rb 0.250 0.750 0.500
Rb 0.750 0.250 0.500
Bi 0.000 0.000 0.000
Se 0.500 0.500 0.000
F 0.200 0.200 0.000
F 0.250 0.250 0.499
F 0.250 0.750 0.000
F 0.750 0.250 0.000
F 0.750 0.750 0.501
F 0.800 0.800 0.000
```

***

Entry 2:
The following is a DFT calculation (PBE) of a relaxed CaZn2Cd2 crystal. Values from VASP.

Summary:
- Symmetry: P4/mbm, No. 127
- Energy relative to the elements: -0.045 eV per atom
- E above lowest polymorph: 3.764 kcal/mol of atoms
- Crystal system: tetragonal
- Total magnetic moment: 0.0 Bohr magnetons per cell

```
&SYSTEM
  ibrav = 0, nat = 10, ntyp = 3
/
ATOMIC_SPECIES
Ca 40.08 Ca.upf
Zn 65.41 Zn.upf
Cd 112.41 Cd.upf
CELL_PARAMETERS angstrom
8.210 0.000 0.000
0.000 8.210 0.000
0.000 0.000 3.266
ATOMIC_POSITIONS crystal
Ca 0.000 0.000 0.000
Ca 0.500 0.500 0.000
Zn 0.173 0.327 0.500
Zn 0.327 0.827 0.500
Zn 0.673 0.173 0.500
Zn 0.827 0.673 0.500
Cd 0.127 0.627 0.000
Cd 0.373 0.127 0.000
Cd 0.627 0.873 0.000
Cd 0.873 0.373 0.000
```

***

Entry 3:
The following is a DFT calculation (PBE) of a relaxed YCoIr2 crystal. Values from VASP.

Summary:
- Symmetry: Cm, No. 8
- Energy relative to the elements: -0.083 eV per atom
- E above lowest polymorph: 2.357 kcal/mol of atoms
- Crystal system: monoclinic
- Total magnetic moment: 2.2 Bohr magnetons per cell

```
&SYSTEM
  ibrav = 0, nat = 8, ntyp = 3
/
ATOMIC_SPECIES
Y 88.91 Y.upf
Co 58.93 Co.upf
Ir 192.22 Ir.upf
CELL_PARAMETERS angstrom
9.222 0.000 0.000
0.000 2.978 0.000
-1.060 0.000 4.877
ATOMIC_POSITIONS crystal
Y 0.000 0.000 0.000
Y 0.500 0.500 0.000
Co 0.238 0.000 0.714
Co 0.738 0.500 0.714
Ir 0.003 0.500 0.502
Ir 0.262 0.500 0.327
Ir 0.503 0.000 0.502
Ir 0.762 0.000 0.327
```

***

Entry 4:
The following is a DFT calculation (PBE) of a relaxed TlPt3Br crystal. Values from VASP.

Summary:
- Symmetry: Pm-3m, No. 221
- E above lowest polymorph: 0.000 kcal/mol of atoms
- Crystal system: cubic
- Total magnetic moment: 0.0 Bohr magnetons per cell

```
&SYSTEM
  ibrav = 0, nat = 5, ntyp = 3
/
ATOMIC_SPECIES
Tl 204.38 Tl.upf
Pt 195.08 Pt.upf
Br 79.90 Br.upf
CELL_PARAMETERS angstrom
4.849 0.000 0.000
0.000 4.849 0.000
0.000 0.000 4.849
ATOMIC_POSITIONS crystal
Tl 0.000 0.000 0.000
Pt 0.000 0.500 0.500
Pt 0.500 0.000 0.500
Pt 0.500 0.500 0.000
Br 0.500 0.500 0.500
```

***

Entry 5:
The following is a DFT calculation (PBE) of a relaxed K5Ta3 crystal. Values from VASP.

Summary:
- Symmetry: Cmmm, No. 65
- Energy relative to the elements: 1.022 eV per atom
- Crystal system: orthorhombic
- Total magnetic moment: 0.0 Bohr magnetons per cell

```
&SYSTEM
  ibrav = 0, nat = 16, ntyp = 2
/
ATOMIC_SPECIES
K 39.10 K.upf
Ta 180.95 Ta.upf
CELL_PARAMETERS angstrom
11.535 0.000 0.000
0.000 13.066 0.000
0.000 0.000 4.641
ATOMIC_POSITIONS crystal
K 0.000 0.000 0.000
K 0.000 0.250 0.500
K 0.000 0.750 0.500
K 0.250 0.250 0.000
K 0.250 0.750 0.000
K 0.500 0.250 0.500
K 0.500 0.500 0.000
K 0.500 0.750 0.500
K 0.750 0.250 0.000
K 0.750 0.750 0.000
Ta 0.000 0.500 0.000
Ta 0.111 0.500 0.500
Ta 0.389 0.000 0.500
Ta 0.500 0.000 0.000
Ta 0.611 0.000 0.500
Ta 0.889 0.500 0.500
```

***

Entry 6:
The following is a DFT calculation (PBE) of a relaxed CsOsRhO6 crystal. Values from VASP.

Summary:
- Symmetry: Imma, No. 74
- Calculated total energy: -117.33 eV per cell
- Crystal system: orthorhombic
- Total magnetic moment: 0.0 Bohr magnetons per cell

```
&SYSTEM
  ibrav = 0, nat = 18, ntyp = 4
/
ATOMIC_SPECIES
Cs 132.91 Cs.upf
Os 190.23 Os.upf
Rh 102.91 Rh.upf
O 16.00 O.upf
CELL_PARAMETERS angstrom
-3.589 3.662 5.171
3.589 -3.662 5.171
3.589 3.662 -5.171
ATOMIC_POSITIONS crystal
Cs 0.373 0.123 0.250
Cs 0.627 0.877 0.750
Os 0.000 0.500 0.500
Os 0.500 0.500 0.000
Rh 0.000 0.000 0.500
Rh 0.000 0.500 0.000
O 0.066 0.434 0.259
O 0.066 0.807 0.632
O 0.072 0.822 0.250
O 0.312 0.562 0.750
O 0.325 0.193 0.759
O 0.325 0.566 0.132
O 0.675 0.434 0.868
O 0.675 0.807 0.241
O 0.688 0.438 0.250
O 0.928 0.178 0.750
O 0.934 0.193 0.368
O 0.934 0.566 0.741
```

***

Entry 7:
The following is a DFT calculation (PBE) of a relaxed BaCd2Au crystal. Values from VASP.

Summary:
- Symmetry: I-4m2, No. 119
- Energy relative to the elements: -0.303 eV per atom
- Crystal system: tetragonal
- Total magnetic moment: 0.0 Bohr magnetons per cell

```
&SYSTEM
  ibrav = 0, nat = 8, ntyp = 3
/
ATOMIC_SPECIES
Ba 137.33 Ba.upf
Cd 112.41 Cd.upf
Au 196.97 Au.upf
CELL_PARAMETERS angstrom
5.463 0.000 0.000
0.000 5.463 0.000
0.000 0.000 7.596
ATOMIC_POSITIONS crystal
Ba 0.000 0.000 0.000
Ba 0.500 0.500 0.500
Cd 0.000 0.000 0.500
Cd 0.000 0.500 0.250
Cd 0.500 0.000 0.750
Cd 0.500 0.500 0.000
Au 0.000 0.500 0.750
Au 0.500 0.000 0.250
```

***

Entry 8:
The following is a DFT calculation (PBE) of a relaxed AcLuCuRu crystal. Values from VASP.

Summary:
- Symmetry: F-43m, No. 216
- Energy relative to the elements: -0.140 eV per atom
- Crystal system: cubic
- Total magnetic moment: 0.0 Bohr magnetons per cell

```
&SYSTEM
  ibrav = 0, nat = 16, ntyp = 4
/
ATOMIC_SPECIES
Ac 227.00 Ac.upf
Lu 174.97 Lu.upf
Cu 63.55 Cu.upf
Ru 101.07 Ru.upf
CELL_PARAMETERS angstrom
7.107 0.000 0.000
0.000 7.107 0.000
0.000 0.000 7.107
ATOMIC_POSITIONS crystal
Ac 0.000 0.000 0.000
Ac 0.000 0.500 0.500
Ac 0.500 0.000 0.500
Ac 0.500 0.500 0.000
Lu 0.000 0.000 0.500
Lu 0.000 0.500 0.000
Lu 0.500 0.000 0.000
Lu 0.500 0.500 0.500
Cu 0.250 0.250 0.250
Cu 0.250 0.750 0.750
Cu 0.750 0.250 0.750
Cu 0.750 0.750 0.250
Ru 0.250 0.250 0.750
Ru 0.250 0.750 0.250
Ru 0.750 0.250 0.250
Ru 0.750 0.750 0.750
```

***

Entry 9:
The following is a DFT calculation (PBE) of a relaxed Sm3ScTl5 crystal. Values from VASP.

Summary:
- Symmetry: P6_3/mcm, No. 193
- Energy relative to the elements: -0.330 eV per atom
- Crystal system: hexagonal
- Total magnetic moment: 0.0 Bohr magnetons per cell

```
&SYSTEM
  ibrav = 0, nat = 18, ntyp = 3
/
ATOMIC_SPECIES
Sm 150.36 Sm.upf
Sc 44.96 Sc.upf
Tl 204.38 Tl.upf
CELL_PARAMETERS angstrom
9.378 0.000 0.000
-4.689 8.122 0.000
0.000 0.000 6.552
ATOMIC_POSITIONS crystal
Sm 0.000 0.373 0.250
Sm 0.000 0.627 0.750
Sm 0.373 0.000 0.250
Sm 0.373 0.373 0.750
Sm 0.627 0.000 0.750
Sm 0.627 0.627 0.250
Sc 0.000 0.000 0.000
Sc 0.000 0.000 0.500
Tl 0.000 0.285 0.750
Tl 0.000 0.715 0.250
Tl 0.285 0.000 0.750
Tl 0.285 0.285 0.250
Tl 0.333 0.667 0.000
Tl 0.333 0.667 0.500
Tl 0.667 0.333 0.000
Tl 0.667 0.333 0.500
Tl 0.715 0.000 0.250
Tl 0.715 0.715 0.750
```

***

Entry 10:
The following is a DFT calculation (PBE) of a relaxed SrMn2Pd crystal. Values from VASP.

Summary:
- Symmetry: Fm-3m, No. 225
- Energy relative to the elements: 0.412 eV per atom
- Crystal system: cubic
- Total magnetic moment: 33.3 Bohr magnetons per cell

```
&SYSTEM
  ibrav = 0, nat = 16, ntyp = 3
/
ATOMIC_SPECIES
Sr 87.62 Sr.upf
Mn 54.94 Mn.upf
Pd 106.42 Pd.upf
CELL_PARAMETERS angstrom
6.858 0.000 0.000
0.000 6.858 0.000
0.000 0.000 6.858
ATOMIC_POSITIONS crystal
Sr 0.000 0.000 0.000
Sr 0.000 0.500 0.500
Sr 0.500 0.000 0.500
Sr 0.500 0.500 0.000
Mn 0.250 0.250 0.250
Mn 0.250 0.250 0.750
Mn 0.250 0.750 0.250
Mn 0.250 0.750 0.750
Mn 0.750 0.250 0.250
Mn 0.750 0.250 0.750
Mn 0.750 0.750 0.250
Mn 0.750 0.750 0.750
Pd 0.000 0.000 0.500
Pd 0.000 0.500 0.000
Pd 0.500 0.000 0.000
Pd 0.500 0.500 0.500
```

***

Entry 11:
The following is a DFT calculation (PBE) of a relaxed NaAc4Ir2 crystal. Values from VASP.

Summary:
- Symmetry: R-3m, No. 166
- Energy relative to the elements: -0.494 eV per atom
- E above lowest polymorph: 0.000 kcal/mol of atoms
- Crystal system: trigonal
- Total magnetic moment: 0.0 Bohr magnetons per cell

```
&SYSTEM
  ibrav = 0, nat = 7, ntyp = 3
/
ATOMIC_SPECIES
Na 22.99 Na.upf
Ac 227.00 Ac.upf
Ir 192.22 Ir.upf
CELL_PARAMETERS angstrom
2.196 1.268 16.752
-2.196 1.268 16.752
0.000 -2.536 16.752
ATOMIC_POSITIONS crystal
Na 0.000 0.000 0.000
Ac 0.127 0.127 0.127
Ac 0.268 0.268 0.268
Ac 0.732 0.732 0.732
Ac 0.873 0.873 0.873
Ir 0.430 0.430 0.430
Ir 0.570 0.570 0.570
```

***

Entry 12:
The following is a DFT calculation (PBE) of a relaxed HfIn2Cl6 crystal. Values from VASP.

Summary:
- Symmetry: P2_1/c, No. 14
- Calculated total energy: -79.00 eV per cell
- Crystal system: monoclinic
- Total magnetic moment: 0.0 Bohr magnetons per cell

```
&SYSTEM
  ibrav = 0, nat = 18, ntyp = 3
/
ATOMIC_SPECIES
Hf 178.49 Hf.upf
In 114.82 In.upf
Cl 35.45 Cl.upf
CELL_PARAMETERS angstrom
7.146 0.000 0.000
0.000 8.248 0.000
-6.852 0.000 9.938
ATOMIC_POSITIONS crystal
Hf 0.000 0.000 0.000
Hf 0.000 0.500 0.500
In 0.274 0.097 0.757
In 0.274 0.403 0.257
In 0.726 0.597 0.743
In 0.726 0.903 0.243
Cl 0.153 0.030 0.240
Cl 0.153 0.470 0.740
Cl 0.217 0.747 0.049
Cl 0.217 0.753 0.549
Cl 0.324 0.158 0.036
Cl 0.324 0.342 0.536
Cl 0.676 0.658 0.464
Cl 0.676 0.842 0.964
Cl 0.783 0.247 0.451
Cl 0.783 0.253 0.951
Cl 0.847 0.530 0.260
Cl 0.847 0.970 0.760
```

***

Entry 13:
The following is a DFT calculation (PBE) of a relaxed LiMnSe2N crystal. Values from VASP.

Summary:
- Symmetry: P4/mmm, No. 123
- E above lowest polymorph: 0.000 kcal/mol of atoms
- Crystal system: tetragonal
- Total magnetic moment: 1.3 Bohr magnetons per cell

```
&SYSTEM
  ibrav = 0, nat = 5, ntyp = 4
/
ATOMIC_SPECIES
Li 6.94 Li.upf
Mn 54.94 Mn.upf
Se 78.96 Se.upf
N 14.01 N.upf
CELL_PARAMETERS angstrom
5.035 0.000 0.000
0.000 5.035 0.000
0.000 0.000 3.459
ATOMIC_POSITIONS crystal
Li 0.000 0.000 0.000
Mn 0.500 0.500 0.500
Se 0.000 0.500 0.500
Se 0.500 0.000 0.500
N 0.500 0.500 0.000
```

***

Entry 14:
The following is a DFT calculation (PBE) of a relaxed Cd4SF6 crystal. Values from VASP.

Summary:
- Symmetry: P4_2/nmc, No. 137
- E above lowest polymorph: 0.000 kcal/mol of atoms
- Crystal system: tetragonal
- Total magnetic moment: 0.0 Bohr magnetons per cell

```
&SYSTEM
  ibrav = 0, nat = 22, ntyp = 3
/
ATOMIC_SPECIES
Cd 112.41 Cd.upf
S 32.06 S.upf
F 19.00 F.upf
CELL_PARAMETERS angstrom
7.998 0.000 0.000
0.000 7.998 0.000
0.000 0.000 5.612
ATOMIC_POSITIONS crystal
Cd 0.013 0.250 0.015
Cd 0.250 0.013 0.515
Cd 0.250 0.487 0.515
Cd 0.487 0.250 0.015
Cd 0.513 0.750 0.985
Cd 0.750 0.513 0.485
Cd 0.750 0.987 0.485
Cd 0.987 0.750 0.985
S 0.250 0.750 0.750
S 0.750 0.250 0.250
F 0.036 0.536 0.250
F 0.036 0.964 0.250
F 0.250 0.250 0.278
F 0.250 0.250 0.778
F 0.464 0.536 0.250
F 0.464 0.964 0.250
F 0.536 0.036 0.750
F 0.536 0.464 0.750
F 0.750 0.750 0.222
F 0.750 0.750 0.722
F 0.964 0.036 0.750
F 0.964 0.464 0.750
```

***

Entry 15:
The following is a DFT calculation (PBE) of a relaxed AcGdSb crystal. Values from VASP.

Summary:
- Symmetry: I4mm, No. 107
- E above lowest polymorph: 0.000 kcal/mol of atoms
- Crystal system: tetragonal
- Total magnetic moment: 16.3 Bohr magnetons per cell

```
&SYSTEM
  ibrav = 0, nat = 6, ntyp = 3
/
ATOMIC_SPECIES
Ac 227.00 Ac.upf
Gd 157.25 Gd.upf
Sb 121.76 Sb.upf
CELL_PARAMETERS angstrom
4.123 0.000 0.000
0.000 4.123 0.000
0.000 0.000 11.889
ATOMIC_POSITIONS crystal
Ac 0.000 0.000 0.000
Ac 0.500 0.500 0.500
Gd 0.000 0.000 0.708
Gd 0.500 0.500 0.208
Sb 0.000 0.000 0.320
Sb 0.500 0.500 0.820
```

***

Entry 16:
The following is a DFT calculation (PBE) of a relaxed PuP2Pt5 crystal. Values from VASP.

Summary:
- Symmetry: Immm, No. 71
- Energy relative to the elements: -0.591 eV per atom
- Crystal system: orthorhombic
- Total magnetic moment: 10.6 Bohr magnetons per cell

```
&SYSTEM
  ibrav = 0, nat = 16, ntyp = 3
/
ATOMIC_SPECIES
Pu 244.00 Pu.upf
P 30.97 P.upf
Pt 195.08 Pt.upf
CELL_PARAMETERS angstrom
4.111 0.000 0.000
0.000 6.976 0.000
0.000 0.000 9.483
ATOMIC_POSITIONS crystal
Pu 0.000 0.000 0.000
Pu 0.500 0.500 0.500
P 0.000 0.500 0.249
P 0.000 0.500 0.751
P 0.500 0.000 0.251
P 0.500 0.000 0.749
Pt 0.000 0.207 0.352
Pt 0.000 0.207 0.648
Pt 0.000 0.500 0.000
Pt 0.000 0.793 0.352
Pt 0.000 0.793 0.648
Pt 0.500 0.000 0.500
Pt 0.500 0.293 0.148
Pt 0.500 0.293 0.852
Pt 0.500 0.707 0.148
Pt 0.500 0.707 0.852
```

***

Entry 17:
The following is a DFT calculation (PBE) of a relaxed AcCdPt2 crystal. Values from VASP.

Summary:
- Symmetry: Pnma, No. 62
- Energy relative to the elements: -0.846 eV per atom
- Crystal system: orthorhombic
- Total magnetic moment: 0.0 Bohr magnetons per cell

```
&SYSTEM
  ibrav = 0, nat = 16, ntyp = 3
/
ATOMIC_SPECIES
Ac 227.00 Ac.upf
Cd 112.41 Cd.upf
Pt 195.08 Pt.upf
CELL_PARAMETERS angstrom
8.007 0.000 0.000
0.000 4.435 0.000
0.000 0.000 10.742
ATOMIC_POSITIONS crystal
Ac 0.152 0.250 0.144
Ac 0.348 0.750 0.644
Ac 0.652 0.250 0.356
Ac 0.848 0.750 0.856
Cd 0.025 0.750 0.402
Cd 0.475 0.250 0.902
Cd 0.525 0.750 0.098
Cd 0.975 0.250 0.598
Pt 0.131 0.250 0.824
Pt 0.249 0.250 0.438
Pt 0.251 0.750 0.938
Pt 0.369 0.750 0.324
Pt 0.631 0.250 0.676
Pt 0.749 0.250 0.062
Pt 0.751 0.750 0.562
Pt 0.869 0.750 0.176
```

***

Entry 18:
The following is a DFT calculation (PBE) of a relaxed Ba5PtAu2N crystal. Values from VASP.

Summary:
- Symmetry: Cmc2_1, No. 36
- Calculated total energy: -71.53 eV per cell
- Crystal system: orthorhombic
- Total magnetic moment: 0.0 Bohr magnetons per cell

```
&SYSTEM
  ibrav = 0, nat = 18, ntyp = 4
/
ATOMIC_SPECIES
Ba 137.33 Ba.upf
Pt 195.08 Pt.upf
Au 196.97 Au.upf
N 14.01 N.upf
CELL_PARAMETERS angstrom
2.308 -9.603 0.000
2.308 9.603 0.000
0.000 0.000 14.411
ATOMIC_POSITIONS crystal
Ba 0.010 0.990 0.500
Ba 0.127 0.873 0.721
Ba 0.168 0.832 0.109
Ba 0.223 0.777 0.396
Ba 0.456 0.544 0.753
Ba 0.544 0.456 0.253
Ba 0.777 0.223 0.896
Ba 0.832 0.168 0.609
Ba 0.873 0.127 0.221
Ba 0.990 0.010 0.000
Pt 0.292 0.708 0.748
Pt 0.708 0.292 0.248
Au 0.358 0.642 0.037
Au 0.397 0.603 0.403
Au 0.603 0.397 0.903
Au 0.642 0.358 0.537
N 0.027 0.973 0.163
N 0.973 0.027 0.663
```

***

Entry 19:
The following is a DFT calculation (PBE) of a relaxed KTm2CuSe4 crystal. Values from VASP.

Summary:
- Symmetry: Cmcm, No. 63
- Calculated total energy: -80.07 eV per cell
- Crystal system: orthorhombic
- Total magnetic moment: 0.0 Bohr magnetons per cell

```
&SYSTEM
  ibrav = 0, nat = 16, ntyp = 4
/
ATOMIC_SPECIES
K 39.10 K.upf
Tm 168.93 Tm.upf
Cu 63.55 Cu.upf
Se 78.96 Se.upf
CELL_PARAMETERS angstrom
2.038 -6.977 0.000
2.038 6.977 0.000
0.000 0.000 14.276
ATOMIC_POSITIONS crystal
K 0.114 0.886 0.750
K 0.886 0.114 0.250
Tm 0.366 0.634 0.565
Tm 0.366 0.634 0.935
Tm 0.634 0.366 0.065
Tm 0.634 0.366 0.435
Cu 0.160 0.840 0.250
Cu 0.840 0.160 0.750
Se 0.000 0.000 0.000
Se 0.000 0.000 0.500
Se 0.264 0.736 0.110
Se 0.264 0.736 0.390
Se 0.436 0.564 0.750
Se 0.564 0.436 0.250
Se 0.736 0.264 0.610
Se 0.736 0.264 0.890
```

***

Entry 20:
The following is a DFT calculation (PBE) of a relaxed BaIn2RhBr crystal. Values from VASP.

Summary:
- Symmetry: P4/mmm, No. 123
- Calculated total energy: -20.19 eV per cell
- Crystal system: tetragonal
- Total magnetic moment: 0.0 Bohr magnetons per cell

```
&SYSTEM
  ibrav = 0, nat = 5, ntyp = 4
/
ATOMIC_SPECIES
Ba 137.33 Ba.upf
In 114.82 In.upf
Rh 102.91 Rh.upf
Br 79.90 Br.upf
CELL_PARAMETERS angstrom
5.151 0.000 0.000
0.000 5.151 0.000
0.000 0.000 6.156
ATOMIC_POSITIONS crystal
Ba 0.000 0.000 0.000
In 0.000 0.500 0.500
In 0.500 0.000 0.500
Rh 0.000 0.000 0.500
Br 0.500 0.500 0.000
```